No. 1
This record from Alexandria describes a geometry-optimized NaH5CO4 structure. The functional is PBE.

a b c (Å): 7.234 14.505 8.725
angles (deg): 90.00 90.00 90.00
Space group Cmce (No. 64)
Asymmetric unit:
Na: 0.235 0.000 0.000 x8
H: 0.000 0.089 0.224 x8
H: 0.000 0.163 0.097 x8
H: 0.000 0.234 0.369 x8
H: 0.154 0.134 0.710 x16
C: 0.000 0.182 0.462 x8
O: 0.000 0.095 0.110 x8
O: 0.000 0.098 0.424 x8
O: 0.000 0.212 0.599 x8
O: 0.250 0.092 0.750 x8

Its energy is -5.439 eV per atom.

No. 2
This record from Alexandria describes a geometry-optimized KAgSn2 structure. The functional is PBE.

a b c (Å): 7.358 4.653 13.578
angles (deg): 90.00 90.00 90.00
Space group Pnma (No. 62)
Asymmetric unit:
K: 0.133 0.250 0.079 x4
Ag: 0.048 0.250 0.554 x4
Sn: 0.101 0.250 0.762 x4
Sn: 0.136 0.250 0.347 x4

The calculation puts the formation energy at -0.346 eV per formula unit.

No. 3
This record from Alexandria describes a geometry-optimized V5GeH2 structure. The functional is PBE.

a b c (Å): 4.191 5.173 8.122
angles (deg): 90.00 90.00 90.00
Space group Immm (No. 71)
Asymmetric unit:
V: 0.000 0.000 0.000 x2
V: 0.000 0.267 0.344 x8
Ge: 0.000 0.500 0.000 x2
H: 0.000 0.000 0.210 x4

Its energy is -7.035 eV per atom.